Below is BaZrGa2 after structural relaxation, with properties calculated at the GGA-PBE level.

The structure in extended XYZ format:
```
4
Lattice="0.000 3.685 3.685 3.685 0.000 3.685 3.685 3.685 0.000" Properties=species:S:1:pos:R:3 pbc="T T T"
Ga 0.000 0.000 0.000
Ga 1.842 1.842 1.842
Ba 5.527 5.527 5.527
Zr 3.685 3.685 3.685
```

Energy: -0.2745 Ry per atom
Calculated density: 6.1 g cm⁻³
V: 25.0 Å³ per atom